Density functional theory data (PBE) for K8Rb3O after structural relaxation.

a = 9.239 Å, b = 14.796 Å, c = 14.796 Å
α = 120.00°, β = 90.00°, γ = 90.00°
Fractional coordinates of all 24 atoms:
K: 0.008 0.984 0.492
K: 0.008 0.508 0.016
K: 0.008 0.508 0.492
K: 0.508 0.016 0.508
K: 0.508 0.492 0.984
K: 0.508 0.492 0.508
K: 0.712 0.487 0.244
K: 0.712 0.756 0.513
K: 0.712 0.756 0.244
K: 0.212 0.513 0.756
K: 0.212 0.244 0.487
K: 0.212 0.244 0.756
K: 0.849 0.333 0.667
K: 0.349 0.667 0.333
K: 0.975 0.000 0.000
K: 0.475 0.000 0.000
Rb: 0.725 0.694 0.847
Rb: 0.725 0.153 0.306
Rb: 0.725 0.153 0.847
Rb: 0.225 0.306 0.153
Rb: 0.225 0.847 0.694
Rb: 0.225 0.847 0.153
O: 0.115 0.333 0.667
O: 0.615 0.667 0.333

Properties
* mass density: 1.1 g/cm³
* formation energy from raw total energies: -0.20 eV per atom